Here is crystalline ZnCr2Rh8 at its relaxed geometry from the Alexandria database. Energies are from PBE.

Structure (CIF):
```
data_ZnCr2Rh8
_chemical_formula_sum 'Zn2 Cr4 Rh16'
_space_group_name_H-M_alt 'C 1 2/m 1'
_space_group_IT_number 12
_space_group_name_Hall '-C 2y'
_cell_length_a 13.687
_cell_length_b 3.800
_cell_length_c 6.061
_cell_angle_alpha 90.00
_cell_angle_beta 105.27
_cell_angle_gamma 90.00
loop_
_atom_site_label
_atom_site_type_symbol
_atom_site_fract_x
_atom_site_fract_y
_atom_site_fract_z
Zn1 Zn 0.000 0.000 0.000
Cr1 Cr 0.229 0.500 0.650
Rh1 Rh 0.045 0.500 0.725
Rh2 Rh 0.099 0.000 0.466
Rh3 Rh 0.144 0.500 0.200
Rh4 Rh 0.182 0.000 0.907
```

Computed properties:
As for the formation energy: -115 kJ/mol of formula units. The density of states at the Fermi level is 23.2 states/eV/cell. The calculation puts the volume at 304.1 Å³/cell. The calculation puts the total energy at -7.320 eV per atom.

=====

Here is crystalline PrYHo2Th at its relaxed geometry from the Alexandria database. Energies are from PBE.

Structure (CIF):
```
data_PrYHo2Th
_chemical_formula_sum 'Pr1 Y1 Ho2 Th1'
_space_group_name_H-M_alt 'P 1 2/m 1'
_space_group_IT_number 10
_space_group_name_Hall '-P 2y'
_cell_length_a 3.550
_cell_length_b 5.668
_cell_length_c 8.685
_cell_angle_alpha 90.00
_cell_angle_beta 90.06
_cell_angle_gamma 90.00
loop_
_atom_site_label
_atom_site_type_symbol
_atom_site_fract_x
_atom_site_fract_y
_atom_site_fract_z
Pr1 Pr 0.000 0.000 0.000
Y1 Y 0.500 0.000 0.500
Ho1 Ho 0.001 0.500 0.322
Th1 Th 0.500 0.500 0.000
```

Computed properties:
As for the formation energy: 149 kJ/mol of formula units. The density of states at the Fermi level is 9.0 states/eV/cell. The calculation puts the volume at 174.8 Å³/cell. The calculation puts the total energy at -5.255 eV per atom.

=====

Here is crystalline BaSc2Sb2 at its relaxed geometry from the Alexandria database. Energies are from PBE.

Structure (CIF):
```
data_BaSc2Sb2
_chemical_formula_sum 'Ba2 Sc4 Sb4'
_space_group_name_H-M_alt 'I 4/m m m'
_space_group_IT_number 139
_space_group_name_Hall '-I 4 2'
_cell_length_a 4.673
_cell_length_b 4.673
_cell_length_c 14.402
_cell_angle_alpha 90.00
_cell_angle_beta 90.00
_cell_angle_gamma 90.00
loop_
_atom_site_label
_atom_site_type_symbol
_atom_site_fract_x
_atom_site_fract_y
_atom_site_fract_z
Ba1 Ba 0.000 0.000 0.000
Sc1 Sc 0.000 0.500 0.250
Sb1 Sb 0.000 0.000 0.373
```

Computed properties:
As for the energy above the most stable polymorph in this dataset: 0 meV per atom. The density of states at the Fermi level is 8.1 states/eV/cell. The calculation puts the formation energy without anion corrections at -862 meV per atom. The calculation puts the volume at 314.4 Å³/cell. The calculation puts the total energy at -5.428 eV per atom.

=====

Here is crystalline Cs4RbTe4 at its relaxed geometry from the Alexandria database. Energies are from PBE.

Structure (CIF):
```
data_Cs4RbTe4
_chemical_formula_sum 'Cs8 Rb2 Te8'
_space_group_name_H-M_alt 'P 42/n'
_space_group_IT_number 86
_cell_length_a 11.584
_cell_length_b 11.584
_cell_length_c 7.621
_cell_angle_alpha 90.00
_cell_angle_beta 90.00
_cell_angle_gamma 90.00
loop_
_space_group_symop_operation_xyz
'x,y,z'
'-x,-y,-z'
'-y,x+1/2,z+1/2'
'y,-x+1/2,-z+1/2'
'-x+1/2,-y+1/2,z'
'x+1/2,y+1/2,-z'
'y+1/2,-x,z+1/2'
'-y+1/2,x,-z+1/2'
loop_
_atom_site_label
_atom_site_type_symbol
_atom_site_fract_x
_atom_site_fract_y
_atom_site_fract_z
Cs1 Cs 0.063 0.662 0.113
Rb1 Rb 0.250 0.250 0.250
Te1 Te 0.010 0.612 0.602
```

Computed properties:
The density of states at the Fermi level is 12.6 states/eV/cell. The calculation puts the formation energy without anion corrections at -809 meV per atom. The calculation puts the volume at 1022.6 Å³/cell. The calculation puts the total energy at -2.692 eV per atom.